No. 1
DFT (PBE) results for a geometry-optimized Rb3Tb2PuSe6 structure.

Calculated total energy, eV/cell: -133.9
Spin magnetization, μB/f.u.: 5.00

```
data_Rb3Tb2PuSe6
_chemical_formula_sum 'Rb6 Tb4 Pu2 Se12'
_space_group_name_H-M_alt 'C 1 2/m 1'
_space_group_IT_number 12
_cell_length_a 7.434
_cell_length_b 12.876
_cell_length_c 8.353
_cell_angle_alpha 90.00
_cell_angle_beta 107.26
_cell_angle_gamma 90.00
loop_
_space_group_symop_operation_xyz
'x,y,z'
'-x,-y,-z'
'-x,y,-z'
'x,-y,z'
'x+1/2,y+1/2,z'
'-x+1/2,-y+1/2,-z'
'-x+1/2,y+1/2,-z'
'x+1/2,-y+1/2,z'
loop_
_atom_site_label
_atom_site_type_symbol
_atom_site_fract_x
_atom_site_fract_y
_atom_site_fract_z
Rb1 Rb 0.000 0.000 0.000
Rb2 Rb 0.000 0.333 0.000
Tb1 Tb 0.000 0.167 0.500
Pu1 Pu 0.000 0.500 0.500
Se1 Se 0.229 0.000 0.696
Se2 Se 0.233 0.332 0.696
```

No. 2
DFT (PBE) results for a geometry-optimized RbPuTeSe3 structure.

Calculated total energy, eV/cell: -68.2
Spin magnetization, μB/f.u.: 3.76

```
data_RbPuTeSe3
_chemical_formula_sum 'Rb2 Pu2 Te2 Se6'
_space_group_name_H-M_alt 'P 1 21/m 1'
_space_group_IT_number 11
_cell_length_a 9.143
_cell_length_b 4.219
_cell_length_c 10.752
_cell_angle_alpha 90.00
_cell_angle_beta 112.40
_cell_angle_gamma 90.00
loop_
_space_group_symop_operation_xyz
'x,y,z'
'-x,-y,-z'
'-x,y+1/2,-z'
'x,-y+1/2,z'
loop_
_atom_site_label
_atom_site_type_symbol
_atom_site_fract_x
_atom_site_fract_y
_atom_site_fract_z
Rb1 Rb 0.250 0.250 0.212
Pu1 Pu 0.166 0.750 0.671
Te1 Te 0.415 0.250 0.858
Se1 Se 0.060 0.750 0.379
Se2 Se 0.166 0.750 0.926
Se3 Se 0.369 0.250 0.608
```

No. 3
DFT (PBE) results for a geometry-optimized Rb3Pu3TeSe8 structure.

Calculated total energy, eV/cell: -188.7
Spin magnetization, μB/f.u.: 15.00

```
data_Rb3Pu3TeSe8
_chemical_formula_sum 'Rb6 Pu6 Te2 Se16'
_space_group_name_H-M_alt 'C 1 2/m 1'
_space_group_IT_number 12
_cell_length_a 14.793
_cell_length_b 8.537
_cell_length_c 9.458
_cell_angle_alpha 90.00
_cell_angle_beta 121.47
_cell_angle_gamma 90.00
loop_
_space_group_symop_operation_xyz
'x,y,z'
'-x,-y,-z'
'-x,y,-z'
'x,-y,z'
'x+1/2,y+1/2,z'
'-x+1/2,-y+1/2,-z'
'-x+1/2,y+1/2,-z'
'x+1/2,-y+1/2,z'
loop_
_atom_site_label
_atom_site_type_symbol
_atom_site_fract_x
_atom_site_fract_y
_atom_site_fract_z
Rb1 Rb 0.000 0.000 0.000
Rb2 Rb 0.250 0.250 0.000
Pu1 Pu 0.000 0.500 0.500
Pu2 Pu 0.250 0.250 0.500
Te1 Te 0.000 0.000 0.500
Se1 Se 0.018 0.245 0.310
Se2 Se 0.227 0.000 0.690
Se3 Se 0.231 0.500 0.693
```

No. 4
DFT (PBE) results for a geometry-optimized Rb2Pu2TeSe6 structure.

Calculated total energy, eV/cell: -132.3
Spin magnetization, μB/f.u.: 10.00

```
data_Rb2Pu2TeSe6
_chemical_formula_sum 'Rb4 Pu4 Te2 Se12'
_space_group_name_H-M_alt 'C 1 2/m 1'
_space_group_IT_number 12
_cell_length_a 7.329
_cell_length_b 12.633
_cell_length_c 8.518
_cell_angle_alpha 90.00
_cell_angle_beta 106.41
_cell_angle_gamma 90.00
loop_
_space_group_symop_operation_xyz
'x,y,z'
'-x,-y,-z'
'-x,y,-z'
'x,-y,z'
'x+1/2,y+1/2,z'
'-x+1/2,-y+1/2,-z'
'-x+1/2,y+1/2,-z'
'x+1/2,-y+1/2,z'
loop_
_atom_site_label
_atom_site_type_symbol
_atom_site_fract_x
_atom_site_fract_y
_atom_site_fract_z
Rb1 Rb 0.000 0.166 0.000
Pu1 Pu 0.000 0.333 0.500
Te1 Te 0.000 0.000 0.500
Se1 Se 0.228 0.164 0.691
Se2 Se 0.235 0.500 0.691
```

No. 5
DFT (PBE) results for a geometry-optimized RbPu2TeSe4 structure.

Calculated total energy, eV/cell: -218.0
Spin magnetization, μB/f.u.: 9.17

```
data_RbPu2TeSe4
_chemical_formula_sum 'Rb4 Pu8 Te4 Se16'
_space_group_name_H-M_alt 'C m c m'
_space_group_IT_number 63
_space_group_name_Hall '-C 2c 2'
_cell_length_a 4.134
_cell_length_b 15.650
_cell_length_c 14.322
_cell_angle_alpha 90.00
_cell_angle_beta 90.00
_cell_angle_gamma 90.00
loop_
_atom_site_label
_atom_site_type_symbol
_atom_site_fract_x
_atom_site_fract_y
_atom_site_fract_z
Rb1 Rb 0.000 0.153 0.250
Pu1 Pu 0.000 0.380 0.080
Te1 Te 0.000 0.135 0.750
Se1 Se 0.000 0.000 0.000
Se2 Se 0.000 0.257 0.585
Se3 Se 0.000 0.496 0.250
```

No. 6
DFT (PBE) results for a geometry-optimized Rb2Pu2Te2Se structure.

Calculated total energy, eV/cell: -94.8
Spin magnetization, μB/f.u.: 11.98

```
data_Rb2Pu2Te2Se
_chemical_formula_sum 'Rb4 Pu4 Te4 Se2'
_space_group_name_H-M_alt 'I 4/m m m'
_space_group_IT_number 139
_space_group_name_Hall '-I 4 2'
_cell_length_a 5.541
_cell_length_b 5.541
_cell_length_c 18.221
_cell_angle_alpha 90.00
_cell_angle_beta 90.00
_cell_angle_gamma 90.00
loop_
_atom_site_label
_atom_site_type_symbol
_atom_site_fract_x
_atom_site_fract_y
_atom_site_fract_z
Rb1 Rb 0.000 0.000 0.185
Pu1 Pu 0.000 0.500 0.000
Te1 Te 0.000 0.000 0.390
Se1 Se 0.000 0.000 0.000
```